Entry 1:
A geometry-optimized U2Tc2Sn structure, computed with PBE.

Values from the calculation:
Its relative energy among the computed polymorphs is 0.000 eV/atom. The value obtained for the energy of formation from the pure elements is -0.135 eV per atom. For the volume, the calculation gives 94 Å³/cell.

abc: 5.8432 5.8432 5.8432
angles: 45.85 45.85 45.85
Closest atoms and distances in Å follow each position.
Fractional coordinates of all 5 atoms:
U (0.1980, 0.1980, 0.1980)  3 U 2.81, 3 Tc 2.81, 1 Sn 3.10
U (0.8020, 0.8020, 0.8020)  3 U 2.81, 3 Tc 2.81, 1 Sn 3.10
Tc (0.4052, 0.4052, 0.4052)  3 U 2.81, 3 Sn 2.86, 1 Tc 2.97
Tc (0.5948, 0.5948, 0.5948)  3 U 2.81, 3 Sn 2.86, 1 Tc 2.97
Sn (0.0000, 0.0000, 0.0000)  6 Tc 2.86, 2 U 3.10

***

Entry 2:
A geometry-optimized FeHgHPd2 structure, computed with PBE.

Values from the calculation:
For the volume, the calculation gives 66 Å³/cell. The total energy is -22.34 eV/cell.

abc: 4.0631 4.0631 4.0237
angles: 90.00 90.00 90.00
Closest atoms and distances in Å follow each position.
Fractional coordinates of all 5 atoms:
Fe (0.0000, 0.0000, 0.0000)  2 H 2.01
Hg (0.5000, 0.5000, 0.0000)  8 Pd 2.86, 4 Fe 2.87
H (0.0000, 0.0000, 0.5000)  2 Fe 2.01, 4 Pd 2.03
Pd (0.0000, 0.5000, 0.5000)  2 H 2.03
Pd (0.5000, 0.0000, 0.5000)  2 H 2.03

***

Entry 3:
A geometry-optimized Ba2CdSbAs structure, computed with PBE.

Values from the calculation:
The formation energy without anion corrections is -4.36 eV/f.u. For the volume, the calculation gives 381 Å³/cell.

abc: 8.2605 4.7745 10.0845
angles: 90.00 106.45 90.00
Closest atoms and distances in Å follow each position.
Fractional coordinates of all 10 atoms:
Ba (0.1764, 0.2500, 0.3956)  2 As 3.26
Ba (0.2276, 0.2500, 0.9667)  3 As 3.16-3.31
Ba (0.7724, 0.7500, 0.0333)  3 As 3.16-3.31
Ba (0.8236, 0.7500, 0.6044)  2 As 3.26
Cd (0.4922, 0.7500, 0.2702)  1 As 2.59, 2 Sb 2.89
Cd (0.5078, 0.2500, 0.7298)  1 As 2.59, 2 Sb 2.89
Sb (0.3039, 0.7500, 0.6944)  2 Cd 2.89
Sb (0.6961, 0.2500, 0.3056)  2 Cd 2.89
As (0.1662, 0.7500, 0.1739)  1 Cd 2.59
As (0.8338, 0.2500, 0.8261)  1 Cd 2.59

***

Entry 4:
A geometry-optimized YSbTeN2 structure, computed with PBE.

Values from the calculation:
The formation energy without anion corrections is 4.01 eV/f.u. Its relative energy among the computed polymorphs is 0.204 eV/atom. For the volume, the calculation gives 120 Å³/cell.

abc: 4.4243 4.4243 6.1533
angles: 90.00 90.00 90.00
Closest atoms and distances in Å follow each position.
Fractional coordinates of all 5 atoms:
Y (0.0000, 0.0000, 0.0000)  4 N 2.21
Sb (0.5000, 0.5000, 0.5000)  4 Te 3.13
Te (0.0000, 0.0000, 0.5000)  2 Y 3.08, 4 Sb 3.13
N (0.0000, 0.5000, 0.0000)  2 Y 2.21
N (0.5000, 0.0000, 0.0000)  2 Y 2.21

***

Entry 5:
A geometry-optimized Zn2CuHgS4 structure, computed with PBE.

Values from the calculation:
The formation energy without anion corrections is -3.46 eV/f.u. For the volume, the calculation gives 168 Å³/cell.

abc: 6.7885 6.7885 6.7885
angles: 132.23 132.23 69.87
Closest atoms and distances in Å follow each position.
Fractional coordinates of all 8 atoms:
Zn (0.2500, 0.7500, 0.5000)  4 S 2.36
Zn (0.7500, 0.2500, 0.5000)  4 S 2.36
Cu (0.0000, 0.0000, 0.0000)  4 S 2.29
Hg (0.5000, 0.5000, 0.0000)  4 S 2.56
S (0.0979, 0.6416, 0.0000)  1 Cu 2.29, 2 Zn 2.36, 1 Hg 2.56
S (0.3584, 0.3584, 0.4563)  1 Cu 2.29, 2 Zn 2.36, 1 Hg 2.56
S (0.6416, 0.0979, 0.0000)  1 Cu 2.29, 2 Zn 2.36, 1 Hg 2.56
S (0.9021, 0.9021, 0.5437)  1 Cu 2.29, 2 Zn 2.36, 1 Hg 2.56

***

Entry 6:
A geometry-optimized UTi3Tc4 structure, computed with PBE.

Values from the calculation:
The value obtained for the energy of formation from the pure elements is -0.425 eV per atom. For the volume, the calculation gives 128 Å³/cell.

abc: 3.2012 4.5216 8.8122
angles: 90.00 90.00 90.00
Closest atoms and distances in Å follow each position.
Fractional coordinates of all 8 atoms:
U (0.0000, 0.0000, 0.0000)  8 Tc 2.73-2.77
Ti (0.0000, 0.0000, 0.5000)  8 Tc 2.72-2.77
Ti (0.0000, 0.5000, 0.2679)  8 Tc 2.60-2.85
Ti (0.0000, 0.5000, 0.7321)  8 Tc 2.60-2.85
Tc (0.5000, 0.0000, 0.2511)  6 Ti 2.72-2.77, 2 U 2.73
Tc (0.5000, 0.0000, 0.7489)  6 Ti 2.72-2.77, 2 U 2.73
Tc (0.5000, 0.5000, 0.0000)  4 U 2.77, 4 Ti 2.85
Tc (0.5000, 0.5000, 0.5000)  8 Ti 2.60-2.77

***

Entry 7:
A geometry-optimized NpZn4Re structure, computed with PBE.

Values from the calculation:
The value obtained for the energy of formation from the pure elements is 0.180 eV per atom. For the volume, the calculation gives 96 Å³/cell.

abc: 5.1443 5.1443 5.1443
angles: 60.00 60.00 60.00
Closest atoms and distances in Å follow each position.
Fractional coordinates of all 6 atoms:
Np (0.0000, 0.0000, 0.0000)  12 Zn 3.02, 4 Re 3.15
Zn (0.1285, 0.6238, 0.6238)  6 Zn 2.55-2.60
Zn (0.6238, 0.1285, 0.6238)  6 Zn 2.55-2.60
Zn (0.6238, 0.6238, 0.1285)  6 Zn 2.55-2.60
Zn (0.6238, 0.6238, 0.6238)  6 Zn 2.55-2.60
Re (0.2500, 0.2500, 0.2500)  12 Zn 3.01, 4 Np 3.15

***

Entry 8:
A geometry-optimized TlV2BiOs structure, computed with PBE.

Values from the calculation:
The value obtained for the energy of formation from the pure elements is 1.865 eV per atom. For the volume, the calculation gives 128 Å³/cell.

abc: 5.0427 5.0427 5.0187
angles: 90.00 90.00 90.00
Closest atoms and distances in Å follow each position.
Fractional coordinates of all 5 atoms:
Tl (0.0000, 0.0000, 0.0000)  2 Os 2.51, 4 V 2.52
V (0.0000, 0.5000, 0.0000)  2 Tl 2.52
V (0.5000, 0.0000, 0.0000)  2 Tl 2.52
Bi (0.5000, 0.5000, 0.5000)  8 V 3.56, 4 Os 3.57
Os (0.0000, 0.0000, 0.5000)  2 Tl 2.51